# 1
This record from Alexandria describes crystalline La6PmSm12 at its relaxed geometry. The functional is PBE.

a = 8.7507 Å, b = 8.7507 Å, c = 8.7507 Å
α = 89.66°, β = 89.66°, γ = 89.66°
Fractional coordinates of all 19 atoms:
La 0.1951 0.5925 0.7636
La 0.2364 0.8049 0.4075
La 0.4075 0.2364 0.8049
La 0.5925 0.7636 0.1951
La 0.7636 0.1951 0.5925
La 0.8049 0.4075 0.2364
Pm 0.5000 0.5000 0.5000
Sm 0.0343 0.2780 0.9381
Sm 0.0619 0.9657 0.7220
Sm 0.1400 0.3082 0.4808
Sm 0.2780 0.9381 0.0343
Sm 0.3082 0.4808 0.1400
Sm 0.4808 0.1400 0.3082
Sm 0.5192 0.8600 0.6918
Sm 0.6918 0.5192 0.8600
Sm 0.7220 0.0619 0.9657
Sm 0.8600 0.6918 0.5192
Sm 0.9381 0.0343 0.2780
Sm 0.9657 0.7220 0.0619

Values from the calculation:
Electronic total energy = -4.660 eV/atom
Space-group type = R-3
Magnetic moment = 0.00 μB/cell
Energy relative to the lowest polymorph listed for this composition = 107 meV/atom

# 2
This record from Alexandria describes crystalline Sc3GaO at its relaxed geometry. The functional is PBE.

a = 6.1618 Å, b = 6.1618 Å, c = 7.4170 Å
α = 107.88°, β = 107.88°, γ = 43.42°
Fractional coordinates of all 10 atoms:
Sc 0.0000 0.0000 0.0000
Sc 0.0002 0.0002 0.4995
Sc 0.2765 0.2765 0.8821
Sc 0.3082 0.3082 0.4220
Sc 0.6923 0.6923 0.5788
Sc 0.7236 0.7236 0.1187
Ga 0.4836 0.4836 0.2268
Ga 0.5168 0.5168 0.7737
O 0.1943 0.1943 0.5877
O 0.8061 0.8061 0.4130

Values from the calculation:
Electronic total energy = -6.823 eV/atom
Space-group type = Cm
Uncorrected formation energy = -137.67 kJ/mol of atoms
Magnetic moment = 0.00 μB/cell

# 3
This record from Alexandria describes crystalline Ac3Pr12Dy at its relaxed geometry. The functional is PBE.

a = 5.3119 Å, b = 5.3119 Å, c = 21.1896 Å
α = 90.00°, β = 90.00°, γ = 90.00°
Fractional coordinates of all 16 atoms:
Ac 0.0000 0.0000 0.0000
Ac 0.0000 0.0000 0.2528
Ac 0.0000 0.0000 0.7472
Pr 0.0000 0.5000 0.1263
Pr 0.0000 0.5000 0.3802
Pr 0.0000 0.5000 0.6198
Pr 0.0000 0.5000 0.8737
Pr 0.5000 0.0000 0.1263
Pr 0.5000 0.0000 0.3802
Pr 0.5000 0.0000 0.6198
Pr 0.5000 0.0000 0.8737
Pr 0.5000 0.5000 0.0000
Pr 0.5000 0.5000 0.2539
Pr 0.5000 0.5000 0.5000
Pr 0.5000 0.5000 0.7461
Dy 0.0000 0.0000 0.5000

Values from the calculation:
Electronic total energy = -4.624 eV/atom
Space-group type = P4/mmm
Magnetic moment = 0.00 μB/cell